[1]
VASP calculation (GGA-PBE) on La8Tb2Pm after structural relaxation.

Cell lengths 9.7430, 9.7430, 8.2579 Å; angles 104.72, 104.72, 31.27 degrees
Sites, in units of the cell vectors:
La: 0.0467 0.0467 0.2262
La: 0.1379 0.1379 0.6861
La: 0.3179 0.3179 0.5879
La: 0.4080 0.4080 0.0455
La: 0.5920 0.5920 0.9545
La: 0.6821 0.6821 0.4121
La: 0.8621 0.8621 0.3139
La: 0.9533 0.9533 0.7738
Tb: 0.2266 0.2266 0.1346
Tb: 0.7734 0.7734 0.8654
Pm: 0.5000 0.5000 0.5000

Polymorph energy (0 for the lowest one) = 0 meV per atom
Formation energy from the elements = 0.02 eV/atom
SG = C2/m

***

[2]
VASP calculation (GGA-PBE) on ThTl3F8 after structural relaxation.

Cell lengths 7.3052, 7.3052, 7.3052 Å; angles 129.24, 129.24, 74.62 degrees
Sites, in units of the cell vectors:
Th: 0.0000 0.0000 0.0000
Tl: 0.2500 0.7500 0.5000
Tl: 0.5000 0.5000 0.0000
Tl: 0.7500 0.2500 0.5000
F: 0.0979 0.0979 0.4333
F: 0.0979 0.6647 0.0000
F: 0.3353 0.3353 0.4333
F: 0.3353 0.9021 0.0000
F: 0.6647 0.0979 0.0000
F: 0.6647 0.6647 0.5667
F: 0.9021 0.3353 0.0000
F: 0.9021 0.9021 0.5667

SG = I4/mmm

***

[3]
VASP calculation (GGA-PBE) on ErPaCrS6 after structural relaxation.

Cell lengths 6.3974, 6.3974, 5.8026 Å; angles 90.00, 90.00, 120.00 degrees
Sites, in units of the cell vectors:
Er: 0.0000 0.0000 0.0000
Pa: 0.6667 0.3333 0.5000
Cr: 0.3333 0.6667 0.0000
S: 0.0259 0.3696 0.2424
S: 0.0259 0.6564 0.7576
S: 0.3436 0.3696 0.7576
S: 0.3436 0.9741 0.2424
S: 0.6304 0.6564 0.2424
S: 0.6304 0.9741 0.7576

SG = P312

***

[4]
VASP calculation (GGA-PBE) on HfZnSnBi2 after structural relaxation.

Cell lengths 5.6390, 5.6390, 5.2348 Å; angles 90.00, 90.00, 90.00 degrees
Sites, in units of the cell vectors:
Hf: 0.0000 0.0000 0.0000
Zn: 0.0000 0.0000 0.5000
Sn: 0.5000 0.5000 0.5000
Bi: 0.0000 0.5000 0.0000
Bi: 0.5000 0.0000 0.0000

Formation energy from the elements = 0.45 eV/atom
SG = P4/mmm

***

Number 1: total energy -0.1778 Ha/atom. Number 2: total energy -0.1907 Ha/atom. Number 3: total energy -0.2413 Ha/atom. Number 4: total energy -0.1523 Ha/atom.